This record from Alexandria describes an optimized crystal structure of NaSrGdSn. The functional is PBE-GGA.

## Properties
Its formation energy is -0.2918 eV per atom.

Cell: 5.606 5.606 5.606 Å, 60.00 60.00 60.00°
Positions (direct):
1 Sr 0.500 0.500 0.500
2 Gd 0.000 0.000 0.000
3 Sn 0.250 0.250 0.250
4 Na 0.750 0.750 0.750

This record from Alexandria describes an optimized crystal structure of NaGdTlSn. The functional is PBE-GGA.

## Properties
Its formation energy is -0.3287 eV per atom.

Cell: 5.364 5.364 5.364 Å, 60.00 60.00 60.00°
Positions (direct):
1 Na 0.500 0.500 0.500
2 Tl 0.750 0.750 0.750
3 Gd 0.000 0.000 0.000
4 Sn 0.250 0.250 0.250

This record from Alexandria describes an optimized crystal structure of NaGdZnSn. The functional is PBE-GGA.

## Properties
Its formation energy is -0.3236 eV per atom.

Cell: 5.194 5.194 5.194 Å, 60.00 60.00 60.00°
Positions (direct):
1 Na 0.500 0.500 0.500
2 Zn 0.750 0.750 0.750
3 Gd 0.000 0.000 0.000
4 Sn 0.250 0.250 0.250

This record from Alexandria describes an optimized crystal structure of Na4SrGd. The functional is PBE-GGA.

## Properties
Its formation energy is 0.1794 eV per atom.

Cell: 6.860 6.860 6.860 Å, 60.00 60.00 60.00°
Positions (direct):
1 Sr 0.250 0.250 0.250
2 Gd 0.000 0.000 0.000
3 Na 0.626 0.626 0.122
4 Na 0.626 0.122 0.626
5 Na 0.626 0.626 0.626
6 Na 0.122 0.626 0.626

This record from Alexandria describes an optimized crystal structure of NaSrGdTl. The functional is PBE-GGA.

## Properties
Its formation energy is -0.0985 eV per atom.

Cell: 5.686 5.686 5.686 Å, 60.00 60.00 60.00°
Positions (direct):
1 Sr 0.250 0.250 0.250
2 Tl 0.500 0.500 0.500
3 Gd 0.750 0.750 0.750
4 Na 0.000 0.000 0.000

This record from Alexandria describes an optimized crystal structure of NaTbGd2. The functional is PBE-GGA.

## Properties
Its energy above the most stable polymorph in this dataset is 3.35 kJ per mole of atoms. Its formation energy is 0.1469 eV per atom.

Cell: 3.526 3.526 12.841 Å, 82.11 82.11 60.00°
Positions (direct):
1 Na 0.000 0.000 0.000
2 Gd 0.092 0.092 0.724
3 Gd 0.908 0.908 0.276
4 Tb 0.500 0.500 0.500

This record from Alexandria describes an optimized crystal structure of NaTbGd2. The functional is PBE-GGA.

## Properties
Its energy above the most stable polymorph in this dataset is 0.00 kJ per mole of atoms. Its formation energy is 0.1122 eV per atom.

Cell: 3.518 3.518 10.743 Å, 90.00 90.00 90.00°
Positions (direct):
1 Na 0.500 0.500 0.500
2 Gd 0.000 0.000 0.769
3 Gd 0.000 0.000 0.231
4 Tb 0.500 0.500 0.000

This record from Alexandria describes an optimized crystal structure of NaGd2Tc. The functional is PBE-GGA.

## Properties
Its energy above the most stable polymorph in this dataset is 23.23 kJ per mole of atoms. Its formation energy is 0.2447 eV per atom.

Cell: 3.496 3.496 11.282 Å, 81.09 81.09 60.00°
Positions (direct):
1 Na 0.000 0.000 0.000
2 Gd 0.107 0.107 0.680
3 Gd 0.893 0.893 0.320
4 Tc 0.500 0.500 0.500

This record from Alexandria describes an optimized crystal structure of NaGd2Tc. The functional is PBE-GGA.

## Properties
Its energy above the most stable polymorph in this dataset is 0.00 kJ per mole of atoms. Its formation energy is 0.0040 eV per atom.

Cell: 3.464 3.464 9.305 Å, 90.00 90.00 90.00°
Positions (direct):
1 Na 0.500 0.500 0.500
2 Gd 0.000 0.000 0.822
3 Gd 0.000 0.000 0.178
4 Tc 0.500 0.500 0.000

This record from Alexandria describes an optimized crystal structure of NaGd3Tc. The functional is PBE-GGA.

## Properties
Its formation energy is 0.1250 eV per atom.

Cell: 5.456 5.456 5.456 Å, 90.00 90.00 90.00°
Positions (direct):
1 Na 0.500 0.500 0.500
2 Gd 0.000 0.500 0.000
3 Gd 0.000 0.000 0.500
4 Gd 0.500 0.000 0.000
5 Tc 0.000 0.000 0.000

This record from Alexandria describes an optimized crystal structure of NaGdTe. The functional is PBE-GGA.

## Properties
For the uncorrected formation energy, the calculation gives -0.658 eV/atom.

Cell: 3.876 3.876 7.289 Å, 105.42 105.42 90.00°
Positions (direct):
1 Na 0.016 0.016 0.033
2 Gd 0.298 0.298 0.596
3 Te 0.686 0.686 0.372

This record from Alexandria describes an optimized crystal structure of NaGdTe2. The functional is PBE-GGA.

## Properties
For the uncorrected formation energy, the calculation gives -1.113 eV/atom.

Cell: 3.856 3.856 8.015 Å, 90.00 90.00 90.00°
Positions (direct):
1 Na 0.500 0.500 0.500
2 Gd 0.500 0.500 0.000
3 Te 0.000 0.000 0.772
4 Te 0.000 0.000 0.228

This record from Alexandria describes an optimized crystal structure of NaGdTl2. The functional is PBE-GGA.

## Properties
Its formation energy is -0.2661 eV per atom.

Cell: 3.842 5.364 5.364 Å, 90.00 90.00 90.00°
Positions (direct):
1 Na 0.500 0.500 0.500
2 Tl 0.000 0.000 0.500
3 Tl 0.000 0.500 0.000
4 Gd 0.500 0.000 0.000

This record from Alexandria describes an optimized crystal structure of NaGd2Tl. The functional is PBE-GGA.

## Properties
Its energy above the most stable polymorph in this dataset is 1.81 kJ per mole of atoms. Its formation energy is -0.0783 eV per atom.

Cell: 4.502 5.040 5.040 Å, 90.00 90.00 90.00°
Positions (direct):
1 Na 0.500 0.000 0.000
2 Tl 0.500 0.500 0.500
3 Gd 0.000 0.000 0.500
4 Gd 0.000 0.500 0.000

This record from Alexandria describes an optimized crystal structure of NaGdTl. The functional is PBE-GGA.

## Properties
Its energy above the most stable polymorph in this dataset is 2.87 kJ per mole of atoms. Its formation energy is -0.0526 eV per atom.

Cell: 3.590 3.590 7.534 Å, 103.79 103.79 90.00°
Positions (direct):
1 Na 0.599 0.599 0.198
2 Tl 0.948 0.948 0.896
3 Gd 0.303 0.303 0.606

This record from Alexandria describes an optimized crystal structure of NaGd2Tl. The functional is PBE-GGA.

## Properties
Its energy above the most stable polymorph in this dataset is 0.00 kJ per mole of atoms. Its formation energy is -0.0971 eV per atom.

Cell: 5.444 5.444 5.444 Å, 60.00 60.00 60.00°
Positions (direct):
1 Na 0.500 0.500 0.500
2 Tl 0.000 0.000 0.000
3 Gd 0.250 0.250 0.250
4 Gd 0.750 0.750 0.750

This record from Alexandria describes an optimized crystal structure of NaGdTl2. The functional is PBE-GGA.

## Properties
Its formation energy is -0.2491 eV per atom.

Cell: 5.368 5.368 5.368 Å, 60.00 60.00 60.00°
Positions (direct):
1 Na 0.750 0.750 0.750
2 Tl 0.500 0.500 0.500
3 Tl 0.000 0.000 0.000
4 Gd 0.250 0.250 0.250

This record from Alexandria describes an optimized crystal structure of NaGd2Tl. The functional is PBE-GGA.

## Properties
Its energy above the most stable polymorph in this dataset is 16.11 kJ per mole of atoms. Its formation energy is 0.0699 eV per atom.

Cell: 3.535 3.535 12.394 Å, 81.80 81.80 60.00°
Positions (direct):
1 Na 0.000 0.000 0.000
2 Tl 0.500 0.500 0.500
3 Gd 0.096 0.096 0.713
4 Gd 0.904 0.904 0.287

This record from Alexandria describes an optimized crystal structure of NaGdTl. The functional is PBE-GGA.

## Properties
Its energy above the most stable polymorph in this dataset is 0.00 kJ per mole of atoms. Its formation energy is -0.0824 eV per atom.

Cell: 3.425 5.325 5.325 Å, 120.00 90.00 90.00°
Positions (direct):
1 Na 0.840 0.000 0.000
2 Tl 0.827 0.667 0.333
3 Gd 0.333 0.333 0.667

This record from Alexandria describes an optimized crystal structure of NaGd2Tl. The functional is PBE-GGA.

## Properties
Its energy above the most stable polymorph in this dataset is 4.88 kJ per mole of atoms. Its formation energy is -0.0465 eV per atom.

Cell: 3.785 3.785 8.544 Å, 90.00 90.00 90.00°
Positions (direct):
1 Na 0.500 0.500 0.000
2 Tl 0.500 0.500 0.500
3 Gd 0.000 0.000 0.723
4 Gd 0.000 0.000 0.277

| no. | magnetic moment (μB per formula unit) | DFT total energy (eV for the cell shown) |
| --- | --- | --- |
| 1 | 7.37 | -22.25 |
| 2 | 6.98 | -23.08 |
| 3 | 6.98 | -21.97 |
| 4 | 8.07 | -19.96 |
| 5 | 7.34 | -19.84 |
| 6 | 15.03 | -33.52 |
| 7 | 14.88 | -33.66 |
| 8 | 14.70 | -38.87 |
| 9 | 14.32 | -39.83 |
| 10 | 21.60 | -53.30 |
| 11 | 7.56 | -20.51 |
| 12 | 7.19 | -26.13 |
| 13 | 7.03 | -21.20 |
| 14 | 15.10 | -32.16 |
| 15 | 7.99 | -17.92 |
| 16 | 15.10 | -32.24 |
| 17 | 6.92 | -21.13 |
| 18 | 15.31 | -31.57 |
| 19 | 7.48 | -18.01 |
| 20 | 15.17 | -32.03 |